GaNiAg: relaxed, PBE.

Cell and atoms, written as CIF:
```
data_GaNiAg
_chemical_formula_sum 'Ga2 Ni2 Ag2'
_symmetry_space_group_name_H-M 'I 4 m m'
_symmetry_Int_Tables_number 107
_symmetry_space_group_name_Hall 'I 4 -2'
_cell_length_a 3.033
_cell_length_b 3.033
_cell_length_c 9.512
_cell_angle_alpha 90.00
_cell_angle_beta 90.00
_cell_angle_gamma 90.00
loop_
_atom_site_label
_atom_site_type_symbol
_atom_site_fract_x
_atom_site_fract_y
_atom_site_fract_z
Ga1 Ga 0.000 0.000 0.000
Ni1 Ni 0.000 0.000 0.620
Ag1 Ag 0.000 0.000 0.308
```

Output
energy of formation	-0.26	eV/f.u.
crystal system	tetragonal
size of the total moment	0.0000	μB per atom